one | Here is crystalline MgSiP at its relaxed geometry from the Alexandria database. Energies are from PBE.

Values from the calculation:
DOS(E_F)	1.77	states/eV/cell
total moment	0.00	μB per cell

Cell: 4.491 4.491 2.795 Å, 90.00 90.00 120.00°
Sites, in units of the cell vectors:
P (0.667, 0.333, 0.500)
Si (0.333, 0.667, 0.500)
Mg (0.000, 0.000, 0.000)

---

two | Here is crystalline MgSiP at its relaxed geometry from the Alexandria database. Energies are from PBE.

Values from the calculation:
DOS(E_F)	1.17	states/eV/cell
total moment	0.00	μB per cell

Cell: 8.842 4.199 7.282 Å, 90.00 105.95 90.00°
Sites, in units of the cell vectors:
Mg (0.630, 0.420, 0.377)
Mg (0.630, 0.920, 0.877)
Mg (0.370, 0.420, 0.623)
Mg (0.370, 0.920, 0.123)
P (0.691, 0.921, 0.231)
P (0.691, 0.421, 0.731)
P (0.309, 0.421, 0.269)
P (0.309, 0.921, 0.769)
Si (0.043, 0.913, 0.681)
Si (0.043, 0.413, 0.181)
Si (0.957, 0.413, 0.819)
Si (0.957, 0.913, 0.319)

---

The most stable arrangement is two, and the next structure is 0.444 eV/atom less stable.

---

one | Here is crystalline Mg2Si2P at its relaxed geometry from the Alexandria database. Energies are from PBE.

Values from the calculation:
DOS(E_F)	2.58	states/eV/cell
total moment	0.00	μB per cell

Cell: 4.370 4.370 6.086 Å, 68.96 68.96 90.00°
Sites, in units of the cell vectors:
Mg (0.750, 0.250, 0.500)
Mg (0.250, 0.750, 0.500)
Si (0.395, 0.395, 0.210)
Si (0.605, 0.605, 0.790)
P (0.000, 0.000, 0.000)

---

two | Here is crystalline Mg2Si2P at its relaxed geometry from the Alexandria database. Energies are from PBE.

Values from the calculation:
DOS(E_F)	4.08	states/eV/cell
total moment	0.00	μB per cell

Cell: 6.475 6.475 4.197 Å, 90.00 90.00 90.00°
Sites, in units of the cell vectors:
Mg (0.674, 0.826, 0.500)
Mg (0.826, 0.326, 0.500)
Mg (0.174, 0.674, 0.500)
Mg (0.326, 0.174, 0.500)
Si (0.629, 0.129, 0.000)
Si (0.871, 0.629, 0.000)
Si (0.129, 0.371, 0.000)
Si (0.371, 0.871, 0.000)
P (0.000, 0.000, 0.000)
P (0.500, 0.500, 0.000)

---

The most stable arrangement is two, and the next structure is 0.342 eV/atom less stable.

---

one | Here is crystalline MgTa2SiP at its relaxed geometry from the Alexandria database. Energies are from PBE.

Values from the calculation:
DOS(E_F)	3.39	states/eV/cell
total moment	0.00	μB per cell

Cell: 4.628 4.518 4.628 Å, 90.00 90.00 90.00°
Sites, in units of the cell vectors:
Mg (0.000, 0.500, 0.000)
Si (0.500, 0.500, 0.500)
Ta (0.500, 0.000, 0.000)
Ta (0.000, 0.000, 0.500)
P (0.000, 0.000, 0.000)

---

two | Here is crystalline MgTa2SiP at its relaxed geometry from the Alexandria database. Energies are from PBE.

Values from the calculation:
DOS(E_F)	4.33	states/eV/cell
total moment	0.00	μB per cell

Cell: 4.878 4.204 4.878 Å, 90.00 90.00 90.00°
Sites, in units of the cell vectors:
P (0.000, 0.500, 0.000)
Ta (0.500, 0.000, 0.000)
Ta (0.000, 0.000, 0.500)
Mg (0.000, 0.000, 0.000)
Si (0.500, 0.500, 0.500)

---

The most stable arrangement is one, and the next structure is 1.299 eV/atom less stable.

---

one | Here is crystalline MgSnP2 at its relaxed geometry from the Alexandria database. Energies are from PBE.

Values from the calculation:
DOS(E_F)	0.00	states/eV/cell
total moment	0.00	μB per cell

Cell: 5.934 5.934 7.153 Å, 65.49 65.49 90.00°
Sites, in units of the cell vectors:
Sn (0.750, 0.250, 0.500)
Sn (0.000, 0.000, 0.000)
Mg (0.250, 0.750, 0.500)
Mg (0.500, 0.500, 0.000)
P (0.375, 0.373, 0.750)
P (0.123, 0.625, 0.250)
P (0.875, 0.877, 0.750)
P (0.627, 0.125, 0.250)

---

two | Here is crystalline MgSnP2 at its relaxed geometry from the Alexandria database. Energies are from PBE.

Values from the calculation:
DOS(E_F)	2.51	states/eV/cell
total moment	0.00	μB per cell

Cell: 4.782 4.782 4.782 Å, 60.00 60.00 60.00°
Sites, in units of the cell vectors:
Mg (0.000, 0.000, 0.000)
Sn (0.500, 0.500, 0.500)
P (0.250, 0.250, 0.250)
P (0.750, 0.750, 0.750)

---

The most stable arrangement is one, and the next structure is 0.487 eV/atom less stable.

---

one | Here is crystalline MgSnP at its relaxed geometry from the Alexandria database. Energies are from PBE.

Values from the calculation:
DOS(E_F)	1.05	states/eV/cell
total moment	0.00	μB per cell

Cell: 3.880 7.818 4.737 Å, 90.00 90.00 90.00°
Sites, in units of the cell vectors:
Sn (0.500, 0.924, 0.934)
Sn (0.000, 0.076, 0.434)
Mg (0.500, 0.448, 0.042)
Mg (0.000, 0.552, 0.542)
P (0.500, 0.324, 0.542)
P (0.000, 0.676, 0.042)

---

two | Here is crystalline MgSnP at its relaxed geometry from the Alexandria database. Energies are from PBE.

Values from the calculation:
DOS(E_F)	0.61	states/eV/cell
total moment	0.00	μB per cell

Cell: 9.532 4.509 7.757 Å, 90.00 105.45 90.00°
Sites, in units of the cell vectors:
P (0.166, 0.687, 0.192)
P (0.834, 0.187, 0.308)
P (0.834, 0.687, 0.808)
P (0.166, 0.187, 0.692)
Mg (0.875, 0.687, 0.154)
Mg (0.125, 0.687, 0.846)
Mg (0.875, 0.187, 0.654)
Mg (0.125, 0.187, 0.346)
Sn (0.441, 0.691, 0.313)
Sn (0.559, 0.191, 0.187)
Sn (0.559, 0.691, 0.687)
Sn (0.441, 0.191, 0.813)

---

three | Here is crystalline MgSnP at its relaxed geometry from the Alexandria database. Energies are from PBE.

Values from the calculation:
DOS(E_F)	1.03	states/eV/cell
total moment	0.00	μB per cell

Cell: 3.935 3.937 8.908 Å, 89.97 89.93 90.00°
Sites, in units of the cell vectors:
P (0.068, 0.655, 0.755)
P (0.590, 0.166, 0.426)
Mg (0.091, 0.666, 0.457)
Mg (0.570, 0.155, 0.724)
Sn (0.084, 0.661, 0.038)
Sn (0.584, 0.161, 0.144)

---

The most stable arrangement is two, and the next structure is 0.044 eV/atom less stable.